Entry i
KCo3: relaxed, GGA-PBEsol.

The calculation puts the volume at 16.19 A^3/atom. Its density of states at the Fermi level is 4.7 states/eV per cell.

Cell lengths 2.604, 3.338, 7.452 Å; angles 90.00, 90.00, 90.00 degrees
Space group Pmmm (No. 47)
Unique sites:
K: 0.000 0.000 0.000 [1 per cell]
Co: 0.000 0.000 0.500 [1 per cell]
Co: 0.500 0.500 0.348 [2 per cell]

***

Entry ii
KCo3: relaxed, GGA-PBEsol.

The calculation puts the volume at 17.29 A^3/atom. Its density of states at the Fermi level is 7.6 states/eV per cell.

Cell lengths 8.103, 2.587, 6.627 Å; angles 90.00, 95.08, 90.00 degrees
Space group C2/m (No. 12)
Unique sites:
K: 0.000 0.000 0.000 [2 per cell]
Co: 0.000 0.500 0.500 [2 per cell]
Co: 0.224 0.000 0.634 [4 per cell]

***

Result of the stability comparison: entry ii is the least stable of them.

***

Entry i
MoRuRh2: relaxed, GGA-PBEsol.

The calculation puts the volume at 13.80 A^3/atom. Its density of states at the Fermi level is 7.0 states/eV per cell.

Cell lengths 3.837, 3.837, 7.499 Å; angles 90.00, 90.00, 90.00 degrees
Space group I-4m2 (No. 119)
Unique sites:
Mo: 0.000 0.000 0.000 [2 per cell]
Ru: 0.000 0.500 0.750 [2 per cell]
Rh: 0.000 0.000 0.500 [2 per cell]
Rh: 0.000 0.500 0.250 [2 per cell]

***

Entry ii
MoRuRh2: relaxed, GGA-PBEsol.

The calculation puts the volume at 13.75 A^3/atom. Its density of states at the Fermi level is 2.5 states/eV per cell.

Cell lengths 3.777, 3.777, 3.857 Å; angles 90.00, 90.00, 90.00 degrees
Space group P4/mmm (No. 123)
Unique sites:
Mo: 0.000 0.000 0.000 [1 per cell]
Ru: 0.500 0.500 0.000 [1 per cell]
Rh: 0.000 0.500 0.500 [2 per cell]

***

Result of the stability comparison: entry i is the least stable of them.

***

Entry i
Ag2PtW: relaxed, GGA-PBEsol.

The calculation puts the volume at 15.79 A^3/atom. Its density of states at the Fermi level is 2.2 states/eV per cell.

Cell lengths 2.778, 2.778, 8.181 Å; angles 90.00, 90.00, 90.00 degrees
Space group P4mm (No. 99)
Unique sites:
Ag: 0.000 0.000 0.000 [1 per cell]
Ag: 0.500 0.500 0.257 [1 per cell]
Pt: 0.000 0.000 0.517 [1 per cell]
W: 0.500 0.500 0.742 [1 per cell]

***

Entry ii
Ag2PtW: relaxed, GGA-PBEsol.

The calculation puts the volume at 15.94 A^3/atom. Its density of states at the Fermi level is 2.9 states/eV per cell.

Cell lengths 2.750, 3.946, 5.875 Å; angles 90.00, 90.00, 90.00 degrees
Space group Pmm2 (No. 25)
Unique sites:
Ag: 0.000 0.000 0.000 [1 per cell]
Ag: 0.500 0.500 0.239 [1 per cell]
Pt: 0.000 0.000 0.524 [1 per cell]
W: 0.500 0.500 0.720 [1 per cell]

***

Result of the stability comparison: entry ii is the least stable of them.

***

Entry i
NiRuPt2: relaxed, GGA-PBEsol.

The calculation puts the volume at 13.57 A^3/atom. Its density of states at the Fermi level is 15.3 states/eV per cell.

Cell lengths 2.6891, 2.6891, 25.9977 Å; angles 90.00, 90.00, 120.00 degrees
Space group R3m (No. 160, hexagonal axes)
Unique sites:
Ni: 0.0000 0.0000 0.0000 [3 per cell]
Ru: 0.0000 0.0000 0.2587 [3 per cell]
Pt: 0.0000 0.0000 0.5062 [3 per cell]
Pt: 0.0000 0.0000 0.7476 [3 per cell]

***

Entry ii
NiRuPt2: relaxed, GGA-PBEsol.

The calculation puts the volume at 13.43 A^3/atom. Its density of states at the Fermi level is 5.7 states/eV per cell.

Cell lengths 2.697, 2.697, 7.390 Å; angles 90.00, 90.00, 90.00 degrees
Space group P4/mmm (No. 123)
Unique sites:
Ni: 0.000 0.000 0.000 [1 per cell]
Ru: 0.000 0.000 0.500 [1 per cell]
Pt: 0.500 0.500 0.243 [2 per cell]

***

Entry iii
NiRuPt2: relaxed, GGA-PBEsol.

The calculation puts the volume at 13.55 A^3/atom. Its density of states at the Fermi level is 17.8 states/eV per cell.

Cell lengths 2.6992, 2.6992, 25.7690 Å; angles 90.00, 90.00, 120.00 degrees
Space group R-3m (No. 166, hexagonal axes)
Unique sites:
Ni: 0.0000 0.0000 0.0000 [3 per cell]
Ru: 0.0000 0.0000 0.5000 [3 per cell]
Pt: 0.0000 0.0000 0.2524 [6 per cell]

***

Result of the stability comparison: entry i is the least stable of them.

***

Entry i
TaInBr2: relaxed, GGA-PBEsol.

The calculation puts the volume at 21.57 A^3/atom. Its density of states at the Fermi level is 1.6 states/eV per cell.

Cell lengths 3.235, 4.572, 5.854 Å; angles 90.00, 94.76, 90.00 degrees
Space group P2/m (No. 10)
Unique sites:
Ta: 0.000 0.000 0.000 [1 per cell]
In: 0.500 0.000 0.500 [1 per cell]
Br: 0.136 0.500 0.771 [2 per cell]

***

Entry ii
TaInBr2: relaxed, GGA-PBEsol.

The calculation puts the volume at 21.55 A^3/atom. Its density of states at the Fermi level is 6.4 states/eV per cell.

Cell lengths 6.288, 9.687, 3.188 Å; angles 90.00, 117.43, 90.00 degrees
Space group C2/m (No. 12)
Unique sites:
Ta: 0.000 0.000 0.000 [2 per cell]
In: 0.000 0.500 0.000 [2 per cell]
Br: 0.250 0.250 0.000 [4 per cell]

***

Result of the stability comparison: entry ii is the least stable of them.

***

Entry i
BeAsIr2: relaxed, GGA-PBEsol.

The calculation puts the volume at 13.16 A^3/atom. Its density of states at the Fermi level is 6.4 states/eV per cell.

Cell lengths 3.554, 3.554, 8.339 Å; angles 90.00, 90.00, 90.00 degrees
Space group I-4m2 (No. 119)
Unique sites:
Be: 0.000 0.000 0.000 [2 per cell]
As: 0.000 0.500 0.750 [2 per cell]
Ir: 0.000 0.000 0.500 [2 per cell]
Ir: 0.000 0.500 0.250 [2 per cell]

***

Entry ii
BeAsIr2: relaxed, GGA-PBEsol.

The calculation puts the volume at 13.67 A^3/atom. Its density of states at the Fermi level is 4.1 states/eV per cell.

Cell lengths 5.572, 7.996, 2.836 Å; angles 90.00, 120.03, 90.00 degrees
Space group C2/m (No. 12)
Unique sites:
Be: 0.000 0.000 0.000 [2 per cell]
As: 0.000 0.500 0.000 [2 per cell]
Ir: 0.250 0.250 0.000 [4 per cell]

***

Result of the stability comparison: entry ii is the least stable of them.